Below is HPb2Cl at its PBEsol-relaxed geometry, with properties calculated at the SCAN level.

a b c (Å): 4.9876 4.9876 4.9876
angles (deg): 60.00 60.00 60.00
Fractional positions:
1 H 0.0000 0.0000 0.0000
2 Pb 0.2500 0.2500 0.2500
3 Cl 0.5000 0.5000 0.5000
4 Pb 0.7500 0.7500 0.7500

Values from the calculation:
Space-group type = Fm-3m (225)
Total magnetization = 0.0 μB/f.u.
Density of states at the Fermi level = 3.3 states/eV/cell
Total DFT energy (no corrections) = -40.48 eV/atom

---

Below is Sb2HPdCl at its PBEsol-relaxed geometry, with properties calculated at the SCAN level.

a b c (Å): 3.2496 5.3654 5.3654
angles (deg): 90.00 90.00 90.00
Fractional positions:
1 H 0.5000 0.0000 0.0000
2 Pd 0.0000 0.0000 0.0000
3 Sb 0.0000 0.0000 0.5000
4 Cl 0.5000 0.5000 0.5000
5 Sb 0.0000 0.5000 0.0000

Values from the calculation:
Space-group type = P4/mmm (123)
Total magnetization = 0.0 μB/f.u.
Density of states at the Fermi level = 1.5 states/eV/cell
Total DFT energy (no corrections) = -23.81 eV/atom

---

Below is HPtCl3 at its PBEsol-relaxed geometry, with properties calculated at the SCAN level.

a b c (Å): 4.7531 4.7531 4.7531
angles (deg): 90.00 90.00 90.00
Last column: magnetic moment on the atom in μB.
Fractional positions:
1 Cl 0.0000 0.5000 0.0000  -0.01
2 Pt 0.0000 0.0000 0.0000  -0.09
3 Cl 0.0000 0.0000 0.5000  -0.01
4 H 0.5000 0.5000 0.5000  0.35
5 Cl 0.5000 0.0000 0.0000  -0.01

Values from the calculation:
Space-group type = Pm-3m (221)
Total magnetization = 0.7 μB/f.u.
Density of states at the Fermi level = 2.8 states/eV/cell
Total DFT energy (no corrections) = -19.22 eV/atom